Record 1
The following is a DFT calculation (PBE) of a geometry-optimized Ta3Mo5 structure.

Properties
* D(E_F): 8.32 states/eV/f.u.
* calculated volume: 17.2 Å³/atom
* distance to the lowest polymorph of the same formula: 0.422 eV per atom
* space group: C2/c
* DFT total energy: -175.7 eV for the cell shown

Cell lengths 7.750, 7.750, 5.137 Å; angles 109.31, 109.31, 83.70 degrees
Atoms (fractional coordinates):
1 Ta 0.000 0.000 0.250
2 Ta 0.000 0.000 0.750
3 Ta 0.132 0.500 0.816
4 Ta 0.500 0.132 0.316
5 Ta 0.500 0.868 0.684
6 Ta 0.868 0.500 0.184
7 Mo 0.179 0.303 0.241
8 Mo 0.179 0.697 0.438
9 Mo 0.303 0.179 0.741
10 Mo 0.303 0.821 0.062
11 Mo 0.500 0.500 0.250
12 Mo 0.500 0.500 0.750
13 Mo 0.697 0.179 0.938
14 Mo 0.697 0.821 0.259
15 Mo 0.821 0.303 0.562
16 Mo 0.821 0.697 0.759



Record 2
The following is a DFT calculation (PBE) of a geometry-optimized Ta3Mo structure.

Properties
* D(E_F): 4.01 states/eV/f.u.
* calculated volume: 17.6 Å³/atom
* distance to the lowest polymorph of the same formula: 0.003 eV per atom
* space group: P2_1/m
* DFT total energy: -93.7 eV for the cell shown

Cell lengths 5.437, 4.626, 5.690 Å; angles 90.00, 100.77, 90.00 degrees
Atoms (fractional coordinates):
1 Ta 0.110 0.250 0.427
2 Ta 0.140 0.250 0.936
3 Ta 0.379 0.750 0.309
4 Ta 0.621 0.250 0.691
5 Ta 0.860 0.750 0.064
6 Ta 0.890 0.750 0.573
7 Mo 0.373 0.750 0.808
8 Mo 0.627 0.250 0.192



Record 3
The following is a DFT calculation (PBE) of a geometry-optimized Ta3Mo2 structure.

Properties
* D(E_F): 4.88 states/eV/f.u.
* calculated volume: 17.5 Å³/atom
* distance to the lowest polymorph of the same formula: 0.275 eV per atom
* space group: Fddd
* DFT total energy: -113.5 eV for the cell shown

Cell lengths 8.338, 7.335, 5.485 Å; angles 79.72, 59.95, 40.33 degrees
Atoms (fractional coordinates):
1 Ta 0.020 0.020 0.230
2 Ta 0.230 0.230 0.020
3 Ta 0.375 0.375 0.375
4 Ta 0.625 0.625 0.625
5 Ta 0.770 0.770 0.980
6 Ta 0.980 0.980 0.770
7 Mo 0.178 0.178 0.572
8 Mo 0.428 0.428 0.822
9 Mo 0.572 0.572 0.178
10 Mo 0.822 0.822 0.428



Record 4
The following is a DFT calculation (PBE) of a geometry-optimized Ta3Mo structure.

Properties
* D(E_F): 3.78 states/eV/f.u.
* calculated volume: 17.5 Å³/atom
* distance to the lowest polymorph of the same formula: 0.011 eV per atom
* space group: Cmmm
* DFT total energy: -93.6 eV for the cell shown

Cell lengths 7.319, 7.319, 3.267 Å; angles 90.00, 90.00, 126.67 degrees
Atoms (fractional coordinates):
1 Ta 0.000 0.500 0.500
2 Ta 0.122 0.878 0.000
3 Ta 0.261 0.261 0.500
4 Ta 0.500 0.000 0.500
5 Ta 0.739 0.739 0.500
6 Ta 0.878 0.122 0.000
7 Mo 0.373 0.627 0.000
8 Mo 0.627 0.373 0.000



Record 5
The following is a DFT calculation (PBE) of a geometry-optimized Ta2Mo5 structure.

Properties
* D(E_F): 3.34 states/eV/f.u.
* calculated volume: 16.4 Å³/atom
* distance to the lowest polymorph of the same formula: 0.000 eV per atom
* space group: I4/mmm
* DFT total energy: -79.0 eV for the cell shown

Cell lengths 11.478, 11.478, 11.478 Å; angles 163.99, 163.99, 22.71 degrees
Atoms (fractional coordinates):
1 Ta 0.142 0.142 0.000
2 Ta 0.858 0.858 0.000
3 Mo 0.000 0.000 0.000
4 Mo 0.284 0.284 0.000
5 Mo 0.430 0.430 0.000
6 Mo 0.570 0.570 0.000
7 Mo 0.716 0.716 0.000



Record 6
The following is a DFT calculation (PBE) of a geometry-optimized Ta3Mo5 structure.

Properties
* D(E_F): 6.29 states/eV/f.u.
* calculated volume: 16.7 Å³/atom
* distance to the lowest polymorph of the same formula: 0.090 eV per atom
* space group: C2/m
* DFT total energy: -90.5 eV for the cell shown

Cell lengths 5.336, 5.336, 9.070 Å; angles 114.56, 114.56, 35.01 degrees
Atoms (fractional coordinates):
1 Ta 0.000 0.000 0.000
2 Ta 0.243 0.243 0.866
3 Ta 0.757 0.757 0.134
4 Mo 0.000 0.000 0.500
5 Mo 0.249 0.249 0.380
6 Mo 0.497 0.497 0.744
7 Mo 0.503 0.503 0.256
8 Mo 0.751 0.751 0.620



Record 7
The following is a DFT calculation (PBE) of a geometry-optimized Ta3Mo structure.

Properties
* D(E_F): 3.81 states/eV/f.u.
* calculated volume: 17.6 Å³/atom
* distance to the lowest polymorph of the same formula: 0.048 eV per atom
* space group: P4/nmm
* DFT total energy: -93.3 eV for the cell shown

Cell lengths 3.254, 3.254, 13.271 Å; angles 90.00, 90.00, 90.00 degrees
Atoms (fractional coordinates):
1 Ta 0.250 0.250 0.064
2 Ta 0.250 0.250 0.320
3 Ta 0.250 0.250 0.808
4 Ta 0.750 0.750 0.192
5 Ta 0.750 0.750 0.680
6 Ta 0.750 0.750 0.936
7 Mo 0.250 0.250 0.558
8 Mo 0.750 0.750 0.442



Record 8
The following is a DFT calculation (PBE) of a geometry-optimized Ta3Mo5 structure.

Properties
* D(E_F): 3.69 states/eV/f.u.
* calculated volume: 16.6 Å³/atom
* distance to the lowest polymorph of the same formula: 0.006 eV per atom
* space group: P2/m
* DFT total energy: -91.2 eV for the cell shown

Cell lengths 5.352, 4.530, 5.557 Å; angles 90.00, 99.87, 90.00 degrees
Atoms (fractional coordinates):
1 Ta 0.000 0.000 0.000
2 Ta 0.243 0.500 0.372
3 Ta 0.757 0.500 0.628
4 Mo 0.000 0.000 0.500
5 Mo 0.258 0.500 0.876
6 Mo 0.492 0.000 0.747
7 Mo 0.508 0.000 0.253
8 Mo 0.742 0.500 0.124



Record 9
The following is a DFT calculation (PBE) of a geometry-optimized Ta2Mo structure.

Properties
* D(E_F): 2.67 states/eV/f.u.
* calculated volume: 17.3 Å³/atom
* distance to the lowest polymorph of the same formula: 0.073 eV per atom
* space group: P-3m1
* DFT total energy: -69.6 eV for the cell shown

Cell lengths 4.642, 4.642, 5.564 Å; angles 90.00, 90.00, 120.00 degrees
Atoms (fractional coordinates):
1 Ta 0.000 0.000 0.248
2 Ta 0.000 0.000 0.752
3 Ta 0.333 0.667 0.420
4 Ta 0.667 0.333 0.580
5 Mo 0.333 0.667 0.921
6 Mo 0.667 0.333 0.079



Record 10
The following is a DFT calculation (PBE) of a geometry-optimized TaMo2 structure.

Properties
* D(E_F): 1.50 states/eV/f.u.
* calculated volume: 16.6 Å³/atom
* space group: P2_1/m
* DFT total energy: -67.6 eV for the cell shown

Cell lengths 2.821, 4.516, 7.796 Å; angles 90.00, 90.48, 90.00 degrees
Atoms (fractional coordinates):
1 Ta 0.177 0.250 0.412
2 Ta 0.823 0.750 0.588
3 Mo 0.169 0.750 0.920
4 Mo 0.499 0.250 0.756
5 Mo 0.501 0.750 0.244
6 Mo 0.831 0.250 0.080



Record 11
The following is a DFT calculation (PBE) of a geometry-optimized Ta3Mo structure.

Properties
* D(E_F): 4.75 states/eV/f.u.
* calculated volume: 17.5 Å³/atom
* distance to the lowest polymorph of the same formula: 0.001 eV per atom
* space group: P4/nmm
* DFT total energy: -93.7 eV for the cell shown

Cell lengths 3.262, 3.262, 13.174 Å; angles 90.00, 90.00, 90.00 degrees
Atoms (fractional coordinates):
1 Ta 0.250 0.250 0.063
2 Ta 0.250 0.250 0.567
3 Ta 0.250 0.250 0.806
4 Ta 0.750 0.750 0.194
5 Ta 0.750 0.750 0.433
6 Ta 0.750 0.750 0.937
7 Mo 0.250 0.250 0.314
8 Mo 0.750 0.750 0.686



Record 12
The following is a DFT calculation (PBE) of a geometry-optimized Ta2Mo structure.

Properties
* D(E_F): 2.76 states/eV/f.u.
* calculated volume: 17.7 Å³/atom
* distance to the lowest polymorph of the same formula: 0.350 eV per atom
* space group: I4/mmm
* DFT total energy: -34.0 eV for the cell shown

Cell lengths 7.383, 7.383, 7.383 Å; angles 158.68, 158.68, 30.33 degrees
Atoms (fractional coordinates):
1 Ta 0.166 0.166 0.000
2 Ta 0.834 0.834 0.000
3 Mo 0.500 0.500 0.000



Record 13
The following is a DFT calculation (PBE) of a geometry-optimized Ta3Mo structure.

Properties
* D(E_F): 4.53 states/eV/f.u.
* calculated volume: 17.6 Å³/atom
* distance to the lowest polymorph of the same formula: 0.026 eV per atom
* space group: R-3m
* DFT total energy: -93.5 eV for the cell shown

Cell lengths 8.098, 8.098, 8.098 Å; angles 33.09, 33.09, 33.09 degrees
Atoms (fractional coordinates):
1 Ta 0.065 0.065 0.065
2 Ta 0.192 0.192 0.192
3 Ta 0.316 0.316 0.316
4 Ta 0.684 0.684 0.684
5 Ta 0.808 0.808 0.808
6 Ta 0.935 0.935 0.935
7 Mo 0.439 0.439 0.439
8 Mo 0.561 0.561 0.561



Record 14
The following is a DFT calculation (PBE) of a geometry-optimized Ta2Mo structure.

Properties
* D(E_F): 3.38 states/eV/f.u.
* calculated volume: 17.3 Å³/atom
* distance to the lowest polymorph of the same formula: 0.077 eV per atom
* space group: P-1
* DFT total energy: -69.5 eV for the cell shown

Cell lengths 2.872, 5.352, 7.035 Å; angles 79.18, 82.57, 79.65 degrees
Atoms (fractional coordinates):
1 Ta 0.000 0.000 0.000
2 Ta 0.176 0.169 0.337
3 Ta 0.500 0.500 0.000
4 Ta 0.824 0.831 0.663
5 Mo 0.336 0.334 0.664
6 Mo 0.664 0.666 0.336



Record 15
The following is a DFT calculation (PBE) of a geometry-optimized Ta2Mo structure.

Properties
* D(E_F): 2.93 states/eV/f.u.
* calculated volume: 17.3 Å³/atom
* distance to the lowest polymorph of the same formula: 0.016 eV per atom
* space group: P4/mmm
* DFT total energy: -69.9 eV for the cell shown

Cell lengths 3.248, 3.248, 9.845 Å; angles 90.00, 90.00, 90.00 degrees
Atoms (fractional coordinates):
1 Ta 0.000 0.000 0.000
2 Ta 0.000 0.000 0.324
3 Ta 0.000 0.000 0.676
4 Ta 0.500 0.500 0.500
5 Mo 0.500 0.500 0.165
6 Mo 0.500 0.500 0.835



Record 16
The following is a DFT calculation (PBE) of a geometry-optimized Ta3Mo structure.

Properties
* D(E_F): 4.54 states/eV/f.u.
* calculated volume: 17.5 Å³/atom
* distance to the lowest polymorph of the same formula: 0.035 eV per atom
* space group: P4/mmm
* DFT total energy: -46.7 eV for the cell shown

Cell lengths 4.622, 4.622, 3.280 Å; angles 90.00, 90.00, 90.00 degrees
Atoms (fractional coordinates):
1 Ta 0.000 0.000 0.000
2 Ta 0.000 0.500 0.500
3 Ta 0.500 0.000 0.500
4 Mo 0.500 0.500 0.000



Record 17
The following is a DFT calculation (PBE) of a geometry-optimized Ta3Mo4 structure.

Properties
* D(E_F): 3.24 states/eV/f.u.
* calculated volume: 16.7 Å³/atom
* space group: C2/m
* DFT total energy: -80.2 eV for the cell shown

Cell lengths 5.382, 5.382, 7.153 Å; angles 97.26, 97.26, 34.79 degrees
Atoms (fractional coordinates):
1 Ta 0.000 0.000 0.000
2 Ta 0.138 0.138 0.425
3 Ta 0.862 0.862 0.575
4 Mo 0.281 0.281 0.858
5 Mo 0.425 0.425 0.283
6 Mo 0.575 0.575 0.717
7 Mo 0.719 0.719 0.142



Record 18
The following is a DFT calculation (PBE) of a geometry-optimized Ta3Mo5 structure.

Properties
* D(E_F): 5.03 states/eV/f.u.
* calculated volume: 16.6 Å³/atom
* distance to the lowest polymorph of the same formula: 0.060 eV per atom
* space group: Pmmm
* DFT total energy: -90.8 eV for the cell shown

Cell lengths 3.215, 4.518, 9.146 Å; angles 90.00, 90.00, 90.00 degrees
Atoms (fractional coordinates):
1 Ta 0.000 0.000 0.000
2 Ta 0.500 0.000 0.257
3 Ta 0.500 0.000 0.743
4 Mo 0.000 0.000 0.500
5 Mo 0.000 0.500 0.251
6 Mo 0.000 0.500 0.749
7 Mo 0.500 0.500 0.000
8 Mo 0.500 0.500 0.500



Record 19
The following is a DFT calculation (PBE) of a geometry-optimized Ta3Mo structure.

Properties
* D(E_F): 5.17 states/eV/f.u.
* calculated volume: 17.6 Å³/atom
* distance to the lowest polymorph of the same formula: 0.062 eV per atom
* space group: P2_1/m
* DFT total energy: -93.2 eV for the cell shown

Cell lengths 2.875, 4.621, 10.617 Å; angles 90.00, 93.94, 90.00 degrees
Atoms (fractional coordinates):
1 Ta 0.052 0.250 0.180
2 Ta 0.188 0.750 0.564
3 Ta 0.444 0.750 0.306
4 Ta 0.556 0.250 0.694
5 Ta 0.812 0.250 0.436
6 Ta 0.948 0.750 0.820
7 Mo 0.320 0.250 0.940
8 Mo 0.680 0.750 0.060



Record 20
The following is a DFT calculation (PBE) of a geometry-optimized TaMo2 structure.

Properties
* D(E_F): 1.35 states/eV/f.u.
* calculated volume: 16.6 Å³/atom
* space group: P4/nmm
* DFT total energy: -67.7 eV for the cell shown

Cell lengths 3.197, 3.197, 9.725 Å; angles 90.00, 90.00, 90.00 degrees
Atoms (fractional coordinates):
1 Ta 0.250 0.250 0.090
2 Ta 0.750 0.750 0.910
3 Mo 0.250 0.250 0.417
4 Mo 0.250 0.250 0.742
5 Mo 0.750 0.750 0.258
6 Mo 0.750 0.750 0.583



Record 21
The following is a DFT calculation (PBE) of a geometry-optimized Ta2Mo structure.

Properties
* D(E_F): 3.06 states/eV/f.u.
* calculated volume: 17.3 Å³/atom
* distance to the lowest polymorph of the same formula: 0.000 eV per atom
* space group: I4/mmm
* DFT total energy: -35.0 eV for the cell shown

Cell lengths 5.447, 5.447, 5.447 Å; angles 145.37, 145.37, 49.78 degrees
Atoms (fractional coordinates):
1 Ta 0.160 0.160 0.000
2 Ta 0.840 0.840 0.000
3 Mo 0.500 0.500 0.000



Record 22
The following is a DFT calculation (PBE) of a geometry-optimized Ta2Mo structure.

Properties
* D(E_F): 3.66 states/eV/f.u.
* calculated volume: 17.3 Å³/atom
* distance to the lowest polymorph of the same formula: 0.036 eV per atom
* space group: Cmmm
* DFT total energy: -69.8 eV for the cell shown

Cell lengths 7.281, 7.281, 3.257 Å; angles 90.00, 90.00, 142.96 degrees
Atoms (fractional coordinates):
1 Ta 0.000 0.000 0.000
2 Ta 0.171 0.829 0.500
3 Ta 0.500 0.500 0.500
4 Ta 0.829 0.171 0.500
5 Mo 0.335 0.665 0.000
6 Mo 0.665 0.335 0.000



Record 23
The following is a DFT calculation (PBE) of a geometry-optimized TaMo8 structure.

Properties
* D(E_F): 3.87 states/eV/f.u.
* calculated volume: 16.1 Å³/atom
* distance to the lowest polymorph of the same formula: 0.000 eV per atom
* space group: I4/mmm
* DFT total energy: -99.2 eV for the cell shown

Cell lengths 6.932, 6.932, 6.932 Å; angles 93.00, 93.00, 153.53 degrees
Atoms (fractional coordinates):
1 Ta 0.000 0.000 0.000
2 Mo 0.000 0.334 0.334
3 Mo 0.000 0.666 0.666
4 Mo 0.331 0.331 0.663
5 Mo 0.331 0.669 0.000
6 Mo 0.334 0.000 0.334
7 Mo 0.666 0.000 0.666
8 Mo 0.669 0.331 0.000
9 Mo 0.669 0.669 0.337



Record 24
The following is a DFT calculation (PBE) of a geometry-optimized TaMo2 structure.

Properties
* D(E_F): 1.06 states/eV/f.u.
* calculated volume: 16.5 Å³/atom
* space group: C2/m
* DFT total energy: -67.9 eV for the cell shown

Cell lengths 5.330, 5.330, 6.428 Å; angles 107.93, 107.93, 34.99 degrees
Atoms (fractional coordinates):
1 Ta 0.164 0.164 0.087
2 Ta 0.836 0.836 0.913
3 Mo 0.165 0.165 0.581
4 Mo 0.500 0.500 0.256
5 Mo 0.500 0.500 0.744
6 Mo 0.835 0.835 0.419



Record 25
The following is a DFT calculation (PBE) of a geometry-optimized Ta3Mo structure.

Properties
* D(E_F): 3.63 states/eV/f.u.
* calculated volume: 18.1 Å³/atom
* distance to the lowest polymorph of the same formula: 0.328 eV per atom
* space group: R-3m
* DFT total energy: -45.5 eV for the cell shown

Cell lengths 9.081, 9.081, 9.081 Å; angles 19.42, 19.42, 19.42 degrees
Atoms (fractional coordinates):
1 Ta 0.000 0.000 0.000
2 Ta 0.245 0.245 0.245
3 Ta 0.755 0.755 0.755
4 Mo 0.500 0.500 0.500



Record 26
The following is a DFT calculation (PBE) of a geometry-optimized TaMo2 structure.

Properties
* D(E_F): 1.68 states/eV/f.u.
* calculated volume: 16.5 Å³/atom
* space group: Cmcm
* DFT total energy: -67.9 eV for the cell shown

Cell lengths 7.195, 7.195, 3.215 Å; angles 90.00, 90.00, 143.40 degrees
Atoms (fractional coordinates):
1 Ta 0.086 0.914 0.750
2 Ta 0.914 0.086 0.250
3 Mo 0.253 0.747 0.250
4 Mo 0.416 0.584 0.750
5 Mo 0.584 0.416 0.250
6 Mo 0.747 0.253 0.750